This record from Alexandria describes a geometry-optimized La2Ga7Ir structure. The functional is PBE.

Cell: 4.332 4.332 10.745 Å, 90.00 90.00 90.00°
Fractional positions:
La: 0.500 0.000 0.757
La: 0.000 0.500 0.243
Ga: 0.000 0.500 0.874
Ga: 0.500 0.000 0.362
Ga: 0.500 0.000 0.126
Ga: 0.000 0.500 0.638
Ga: 0.000 0.000 0.500
Ga: 0.000 0.000 0.000
Ga: 0.500 0.500 0.500
Ir: 0.500 0.500 0.000

Calculated values
As for the space-group type: P-4m2. The formation energy from the elements comes out at -559 meV/atom.